No. 1
{
  "formula": "Cr4OF11",
  "functional": "PBEsol",
  "state": "optimized geometry",
  "formation_energy_uncorrected_ev_per_atom": -2.5093,
  "relative_energy_mev_per_atom": 4,
  "volume_a3_per_atom": 11.26,
  "lattice": [[5.228, 0.000, 0.000], [0.000, 4.908, 0.000], [-0.631, 0.000, 7.021]],
  "species": ["Cr", "Cr", "Cr", "Cr", "O", "F", "F", "F", "F", "F", "F", "F", "F", "F", "F", "F"],
  "fractional_positions": [[0.000, 0.000, 0.234], [0.000, 0.000, 0.766], [0.499, 0.495, 0.750], [0.501, 0.495, 0.250], [0.000, 0.123, 0.000], [0.000, 0.882, 0.500], [0.182, 0.676, 0.183], [0.185, 0.310, 0.685], [0.315, 0.179, 0.316], [0.317, 0.812, 0.817], [0.500, 0.354, 0.000], [0.500, 0.634, 0.500], [0.683, 0.812, 0.183], [0.685, 0.179, 0.684], [0.815, 0.310, 0.315], [0.818, 0.676, 0.817]]
}



No. 2
{
  "formula": "Sc2MnAl",
  "functional": "PBEsol",
  "state": "optimized geometry",
  "volume_a3_per_atom": 17.96,
  "delta_e_f_ev_per_atom": -0.091,
  "lattice": [[-1.540, 2.376, 4.907], [1.540, -2.376, 4.907], [1.540, 2.376, -4.907]],
  "species": ["Sc", "Sc", "Mn", "Al"],
  "fractional_positions": [[0.000, 0.000, 0.000], [0.707, 0.207, 0.500], [0.471, 0.471, 0.000], [0.266, 0.766, 0.500]]
}



No. 3
{
  "formula": "SbOs3S",
  "functional": "PBEsol",
  "state": "optimized geometry",
  "formation_energy_uncorrected_ev_per_atom": 3.0005,
  "volume_a3_per_atom": 22.28,
  "lattice": [[4.812, 0.000, 0.000], [0.000, 4.812, 0.000], [0.000, 0.000, 4.812]],
  "species": ["Sb", "Os", "Os", "Os", "S"],
  "fractional_positions": [[0.000, 0.000, 0.000], [0.000, 0.000, 0.500], [0.000, 0.500, 0.000], [0.500, 0.000, 0.000], [0.500, 0.500, 0.500]]
}